#P
Below is an optimized crystal structure of HfMoP, with properties calculated at the PBE level.

Output
* space group: P-62m, No. 189

Cell lengths 7.076, 7.076, 3.441 Å; angles 90.00, 90.00, 120.00 degrees
Positions (direct):
P 0.272 0.000 0.000
Mo 0.333 0.667 0.000
Hf 0.402 0.402 0.500
P 0.000 0.272 0.000
Mo 0.667 0.333 0.000
Hf 0.000 0.598 0.500
P 0.728 0.728 0.000
Hf 0.598 0.000 0.500
Mo 0.000 0.000 0.500


#Q
Below is an optimized crystal structure of HfMoP, with properties calculated at the PBE level.

Output
* space group: P-62m, No. 189

Cell lengths 7.070, 7.070, 3.351 Å; angles 90.00, 90.00, 120.00 degrees
Positions (direct):
Mo 0.401 0.401 0.500
Mo 0.000 0.599 0.500
P 0.667 0.333 0.000
Hf 0.734 0.734 0.000
P 0.333 0.667 0.000
Hf 0.000 0.266 0.000
Hf 0.266 0.000 0.000
P 0.000 0.000 0.500
Mo 0.599 0.000 0.500


#R
Below is an optimized crystal structure of HfMoP, with properties calculated at the PBE level.

Output
* space group: P6_3/mmc, No. 194

Cell lengths 4.408, 4.408, 5.674 Å; angles 90.00, 90.00, 120.00 degrees
Positions (direct):
Hf 0.000 0.000 0.500
Mo 0.667 0.333 0.250
P 0.667 0.333 0.750
Hf 0.000 0.000 0.000
P 0.333 0.667 0.250
Mo 0.333 0.667 0.750


Relative stability in meV per atom, measured from the most stable structure: #P 68; #Q 0; #R 143